[1]
A geometry-optimized Li2Ni2B structure, computed with PBEsol.

Cell and atoms, written as POSCAR:
```
Li2Ni2B
1.0
-1.9003 3.6960 -0.3607
-0.3693 -0.6808 -5.0307
-4.5161 -2.2598 0.6373
Ni Li B
4 4 2
Cartesian
-3.9234 -2.1323 -1.1790
-3.2871 -2.0619 -3.8102
-0.9620 -0.8083 -3.2144
-1.5982 -0.8787 -0.5832
-4.0553 0.2082 -0.6235
-2.7304 0.5472 -4.1306
-1.8539 1.2338 -1.7129
-4.9319 -0.4784 -3.0412
-2.4427 -1.4703 -2.1967
0.0000 0.0000 0.0000
```

## Properties
ΔE_f = -0.1937 eV/atom
Crystal system = tetragonal
Space group = P4/mbm

***

[2]
A geometry-optimized MnNiTe4 structure, computed with PBEsol.

Cell and atoms, written as POSCAR:
```
MnNiTe4
1.0
6.1106 0.0000 0.0000
3.0553 5.2919 0.0000
3.0553 1.7640 4.9893
Te Ni Mn
4 1 1
Cartesian
6.1106 5.2965 1.8694
4.5790 2.6437 1.8694
7.6422 2.6437 1.8694
6.1106 3.5280 4.3705
0.0000 0.0000 0.0000
9.1659 5.2919 3.7420
```

## Properties
Crystal system = cubic
Space group = F-43m
ΔE_f (raw) = 6.72 eV/f.u.

***

[3]
A geometry-optimized TcHg2Ru structure, computed with PBEsol.

Cell and atoms, written as POSCAR:
```
TcHg2Ru
1.0
4.5337 0.0000 0.0000
2.2668 3.9263 0.0000
2.2668 1.3088 3.7017
Hg Tc Ru
2 1 1
Cartesian
6.8005 3.9263 2.7763
2.2668 1.3088 0.9254
4.5337 2.6175 1.8509
0.0000 0.0000 0.0000
```

## Properties
ΔE_f = 0.7505 eV/atom
Crystal system = cubic
Space group = Fm-3m

***

[4]
A geometry-optimized Mo2P2PbO12 structure, computed with PBEsol.

Cell and atoms, written as POSCAR:
```
Mo2P2PbO12
1.0
6.3528 -0.0016 0.0000
-0.3532 11.8524 0.0000
0.0000 0.0000 12.3681
O Pb Mo P
48 4 8 8
Cartesian
1.4425 8.3122 8.9685
4.3805 9.4648 2.7844
1.0206 11.3356 4.5302
0.9679 11.1380 11.7877
4.7087 4.1122 9.3676
1.4931 0.8608 6.9619
4.5571 3.5386 3.3997
4.6831 5.0638 0.7778
2.7126 5.1188 4.7277
0.1029 10.8451 1.7977
5.9349 1.4143 5.1287
0.0647 10.4365 7.2394
1.5010 3.0798 5.6543
3.2869 6.7320 7.6404
4.6752 2.8448 11.8384
4.4986 8.7710 6.7138
4.5897 9.8510 0.1287
2.7070 4.7087 11.2242
0.2413 4.5103 11.3128
4.5321 10.0384 9.1846
1.1971 5.4094 1.6539
1.3289 5.6328 9.3265
4.9790 0.5152 7.8379
0.2795 4.9189 4.3863
1.2909 7.7387 3.0005
4.7663 3.9248 6.0553
4.8024 6.4414 10.7143
5.0317 0.7128 0.5805
3.4691 1.2159 5.0401
1.3244 9.0060 0.5297
2.5361 11.0450 1.4563
5.7583 7.3406 1.0553
4.8473 0.2918 3.1424
4.6707 6.2181 3.0417
4.5065 10.9901 5.4063
4.8551 6.6390 5.6036
1.4099 1.9998 12.2394
1.1523 11.5590 9.2257
3.2925 7.1421 1.1439
3.4635 0.8058 10.9118
1.3165 6.7870 11.5904
1.1445 5.2118 6.7645
5.7201 6.9319 7.9818
1.4675 1.8124 3.1835
1.2333 7.9261 6.3128
2.5305 10.6349 7.3280
1.6191 2.3860 9.5837
5.8967 1.0057 10.5704
6.0438 9.1026 4.6730
-0.2208 8.6745 10.8570
6.2203 3.1763 1.5111
-0.0442 2.7483 7.6952
4.6149 4.7526 10.9421
4.4383 10.6788 7.6101
4.4643 10.7101 1.6064
4.6409 4.7839 4.5777
1.5352 1.1407 10.7618
1.5613 1.1720 4.7581
1.3586 7.0669 7.7905
1.3847 7.0982 1.4260
4.6084 6.4065 1.5332
4.7592 1.3197 11.5716
1.2404 10.5311 0.7966
4.7850 0.4803 4.6509
4.5826 7.2459 6.9806
1.2146 11.3706 7.7173
1.4170 4.6049 5.3875
1.3912 5.4443 10.8349
```

## Properties
Crystal system = monoclinic
Space group = P2_1/c
ΔE_f (raw) = -34.24 eV/f.u.

***

[5]
A geometry-optimized Mn2AlB2 structure, computed with PBEsol.

Cell and atoms, written as POSCAR:
```
Mn2AlB2
1.0
2.7919 0.0000 0.0000
0.0000 5.5517 0.0000
0.0000 0.0000 5.5517
B Mn Al
4 4 2
Cartesian
0.0000 2.1394 4.9152
0.0000 3.4124 0.6365
0.0000 4.9152 3.4124
0.0000 0.6365 2.1394
1.3960 3.7214 4.6062
1.3960 4.6062 1.8304
1.3960 0.9455 3.7214
1.3960 1.8304 0.9455
0.0000 2.7759 2.7759
0.0000 0.0000 0.0000
```

## Properties
ΔE_f = -0.4879 eV/atom
Crystal system = tetragonal
Space group = P4/mbm

***

[6]
A geometry-optimized Y2Si2Ag structure, computed with PBEsol.

Cell and atoms, written as POSCAR:
```
Y2Si2Ag
1.0
4.2278 0.0000 0.0000
0.0000 6.8909 0.0000
0.0000 0.0000 6.8909
Y Si Ag
4 4 2
Cartesian
2.1139 1.2106 4.6560
2.1139 4.6560 5.6803
2.1139 5.6803 2.2349
2.1139 2.2349 1.2106
0.0000 2.6012 6.0467
0.0000 6.0467 4.2897
0.0000 0.8442 2.6012
0.0000 4.2897 0.8442
0.0000 3.4454 3.4454
0.0000 0.0000 0.0000
```

## Properties
Crystal system = tetragonal
Space group = P4/mbm
ΔE_f (raw) = -3.72 eV/f.u.

***

no.,ρ (g/cm³),energy (eV per atom),N(E_F) (states/eV/atom)
1,4.4,-4.847,0.21
2,6.4,-3.884,1.10
3,15.1,-4.893,1.31
4,4.7,-8.021,0.00
5,6.1,-8.017,0.50
6,5.7,-6.434,0.55